NiTeRh (PBE, relaxed); spin magnetization = 0.000 μB per atom; E_form (uncorrected) = -0.01 eV per atom; VASP energy = -5.4355 eV per atom; calculated volume = 47.8 Å³/cell; space-group type = No. 107
1.0
-1.755 1.755 3.878
1.755 -1.755 3.878
1.755 1.755 -3.878
Ni Te Rh
1 1 1
direct
0.000 0.000 0.000
0.680 0.680 0.000
0.344 0.344 0.000